(one)
TbNd3Ho4 | PBE | relaxed

Lattice parameters (Å, degrees): 11.479 7.312 6.301 90.00 90.00 90.00
Element x y z (fractional)
Tb 0.000 0.130 0.000
Tb 0.500 0.870 0.500
Nd 0.000 0.873 0.500
Nd 0.250 0.127 0.665
Nd 0.250 0.873 0.165
Nd 0.500 0.127 0.000
Nd 0.750 0.127 0.665
Nd 0.750 0.873 0.165
Ho 0.000 0.378 0.498
Ho 0.000 0.622 0.999
Ho 0.249 0.378 0.166
Ho 0.251 0.622 0.666
Ho 0.500 0.378 0.499
Ho 0.500 0.622 0.998
Ho 0.749 0.622 0.666
Ho 0.751 0.378 0.166

Calculated values
V: 33.1 Å³/atom
Mass density: 7.9 g/cm3
Total moment: 0.001 μB/f.u.


(two)
TbNd3Ho4 | PBE | relaxed

Lattice parameters (Å, degrees): 8.932 8.932 8.932 157.56 98.34 86.03
Element x y z (fractional)
Tb 0.000 0.000 0.000
Nd 0.243 0.743 0.500
Nd 0.500 0.500 0.000
Nd 0.757 0.257 0.500
Ho 0.111 0.865 0.246
Ho 0.381 0.135 0.246
Ho 0.619 0.865 0.754
Ho 0.889 0.135 0.754

Calculated values
V: 33.1 Å³/atom
Mass density: 7.8 g/cm3
Total moment: 0.000 μB/f.u.


It comes down to (one), which is 110 meV/atom more stable than the next structure.


(one)
Tb6NdHo4 | PBE | relaxed

Lattice parameters (Å, degrees): 8.502 8.502 8.502 127.12 127.12 78.05
Element x y z (fractional)
Tb 0.000 0.500 0.500
Tb 0.052 0.574 0.000
Tb 0.426 0.426 0.477
Tb 0.500 0.000 0.500
Tb 0.574 0.052 0.000
Tb 0.948 0.948 0.523
Nd 0.000 0.000 0.000
Ho 0.258 0.258 0.673
Ho 0.415 0.742 0.000
Ho 0.585 0.585 0.327
Ho 0.742 0.415 0.000

Calculated values
V: 34.4 Å³/atom
Mass density: 7.7 g/cm3
Total moment: 0.000 μB/f.u.


(two)
Tb6NdHo4 | PBE | relaxed

Lattice parameters (Å, degrees): 5.596 5.596 25.647 90.00 90.00 118.26
Element x y z (fractional)
Tb 0.000 0.000 0.000
Tb 0.000 0.000 0.500
Tb 0.034 0.966 0.750
Tb 0.302 0.698 0.102
Tb 0.302 0.698 0.398
Tb 0.368 0.632 0.681
Tb 0.368 0.632 0.819
Tb 0.632 0.368 0.181
Tb 0.632 0.368 0.319
Tb 0.698 0.302 0.602
Tb 0.698 0.302 0.898
Tb 0.966 0.034 0.250
Nd 0.301 0.699 0.250
Nd 0.699 0.301 0.750
Ho 0.039 0.961 0.621
Ho 0.039 0.961 0.879
Ho 0.347 0.653 0.542
Ho 0.347 0.653 0.958
Ho 0.653 0.347 0.042
Ho 0.653 0.347 0.458
Ho 0.961 0.039 0.121
Ho 0.961 0.039 0.379

Calculated values
V: 32.2 Å³/atom
Mass density: 8.3 g/cm3
Total moment: 0.003 μB/f.u.


It comes down to (two), which is 296 meV/atom more stable than the next structure.


(one)
Tb12NdHo7 | PBE | relaxed

Lattice parameters (Å, degrees): 9.789 9.789 9.789 109.47 109.47 109.47
Element x y z (fractional)
Tb 0.001 0.746 0.255
Tb 0.254 0.255 0.510
Tb 0.254 0.745 0.999
Tb 0.255 0.001 0.746
Tb 0.255 0.510 0.254
Tb 0.490 0.746 0.745
Tb 0.510 0.254 0.255
Tb 0.745 0.490 0.746
Tb 0.745 0.999 0.254
Tb 0.746 0.255 0.001
Tb 0.746 0.745 0.490
Tb 0.999 0.254 0.745
Nd 0.000 0.000 0.000
Ho 0.000 0.000 0.500
Ho 0.000 0.500 0.000
Ho 0.000 0.500 0.500
Ho 0.500 0.000 0.000
Ho 0.500 0.000 0.500
Ho 0.500 0.500 0.000
Ho 0.500 0.500 0.500

Calculated values
V: 36.1 Å³/atom
Mass density: 7.4 g/cm3
Total moment: 0.000 μB/f.u.


(two)
Tb12NdHo7 | PBE | relaxed

Lattice parameters (Å, degrees): 8.696 8.696 8.696 95.03 95.03 95.03
Element x y z (fractional)
Tb 0.145 0.412 0.475
Tb 0.189 0.750 0.320
Tb 0.250 0.680 0.811
Tb 0.320 0.189 0.750
Tb 0.412 0.475 0.145
Tb 0.475 0.145 0.412
Tb 0.525 0.855 0.588
Tb 0.588 0.525 0.855
Tb 0.680 0.811 0.250
Tb 0.750 0.320 0.189
Tb 0.811 0.250 0.680
Tb 0.855 0.588 0.525
Nd 0.000 0.000 0.000
Ho 0.015 0.080 0.350
Ho 0.080 0.350 0.015
Ho 0.350 0.015 0.080
Ho 0.500 0.500 0.500
Ho 0.650 0.985 0.920
Ho 0.920 0.650 0.985
Ho 0.985 0.920 0.650

Calculated values
V: 32.5 Å³/atom
Mass density: 8.2 g/cm3
Total moment: 0.000 μB/f.u.


It comes down to (two), which is 401 meV/atom more stable than the next structure.